No. 1
Here is a relaxed structure of DyTmFe14B from Alexandria via LeMat-Bulk. Energies are from PBE-GGA.

Output
Energy relative to the elements (eV/atom): -0.115

Cell lengths 8.695, 8.695, 11.849 Å; angles 90.00, 90.00, 90.00 degrees
Space group P4_2/mnm (No. 136)
Unique sites:
Dy1 0.233 0.233 0.000
Tm1 0.144 0.144 0.500
Fe1 0.000 0.000 0.116
Fe2 0.000 0.500 0.000
Fe3 0.037 0.641 0.326
Fe4 0.067 0.725 0.127
Fe5 0.097 0.903 0.301
Fe6 0.183 0.183 0.247
B1 0.125 0.875 0.000

---

No. 2
Here is a relaxed structure of DyMg2Pb4 from Alexandria via LeMat-Bulk. Energies are from PBE-GGA.

Output
Energy relative to the elements (eV/atom): -0.148

Cell lengths 8.102, 10.189, 4.888 Å; angles 90.00, 90.00, 90.00 degrees
Space group Cmmm (No. 65)
Unique sites:
Dy1 0.000 0.000 0.000
Mg1 0.000 0.237 0.500
Pb1 0.213 0.500 0.500
Pb2 0.250 0.250 0.000

---

No. 3
Here is a relaxed structure of TaCr2Mo from Alexandria via LeMat-Bulk. Energies are from PBE-GGA.

Output
Energy relative to the elements (eV/atom): 0.066

Cell lengths 2.722, 4.280, 5.031 Å; angles 90.00, 100.22, 90.00 degrees
Space group Pm (No. 6)
Unique sites:
Ta1 0.000 0.000 0.000
Cr1 0.501 0.000 0.489
Cr2 0.744 0.500 0.245
Mo1 0.255 0.500 0.727

---

No. 4
Here is a relaxed structure of UMn4Cr from Alexandria via LeMat-Bulk. Energies are from PBE-GGA.

Output
Energy relative to the elements (eV/atom): 0.222

Cell lengths 6.903, 6.903, 6.903 Å; angles 90.00, 90.00, 90.00 degrees
Space group F-43m (No. 216)
Unique sites:
U1 0.000 0.000 0.000
Mn1 0.124 0.124 0.624
Cr1 0.250 0.250 0.250

---

No. 5
Here is a relaxed structure of SrTe3Pb2 from Alexandria via LeMat-Bulk. Energies are from PBE-GGA.

Output
Total DFT energy (no corrections) (eV/atom): -3.854

Cell lengths 4.404, 12.177, 8.017 Å; angles 90.00, 90.00, 90.00 degrees
Space group Pmc2_1 (No. 26)
Unique sites:
Sr1 0.000 0.135 0.000
Te1 0.000 0.376 0.724
Te2 0.500 0.049 0.704
Te3 0.500 0.290 0.216
Pb1 0.000 0.182 0.479
Pb2 0.500 0.491 0.501

---

No. 6
Here is a relaxed structure of CaPm4Rh3 from Alexandria via LeMat-Bulk. Energies are from PBE-GGA.

Output
Energy relative to the elements (eV/atom): -0.529

Cell lengths 11.310, 11.310, 6.130 Å; angles 90.00, 90.00, 90.00 degrees
Space group I4/mcm (No. 140)
Unique sites:
Ca1 0.000 0.500 0.250
Pm1 0.084 0.211 0.000
Rh1 0.000 0.000 0.250
Rh2 0.162 0.338 0.500

---

No. 7
Here is a relaxed structure of TmAsAu from Alexandria via LeMat-Bulk. Energies are from PBE-GGA.

Output
Energy relative to the elements (eV/atom): -0.779

Cell lengths 3.827, 3.841, 8.843 Å; angles 90.00, 90.19, 90.00 degrees
Space group P2_1/m (No. 11)
Unique sites:
Tm1 0.249 0.250 0.244
As1 0.249 0.750 0.500
Au1 0.252 0.250 0.907

---

No. 8
Here is a relaxed structure of PmDy5Ho8 from Alexandria via LeMat-Bulk. Energies are from PBE-GGA.

Output
Energy relative to the elements (eV/atom): 0.249

Cell lengths 9.468, 9.468, 10.140 Å; angles 90.00, 90.00, 90.00 degrees
Space group I-4 (No. 82)
Unique sites:
Pm1 0.000 0.000 0.000
Dy1 0.000 0.500 0.750
Dy2 0.112 0.710 0.324
Ho1 0.071 0.823 0.650
Ho2 0.088 0.673 0.997

---

No. 9
Here is a relaxed structure of Ba2HoPdO5 from Alexandria via LeMat-Bulk. Energies are from PBE-GGA.

Output
Total DFT energy (no corrections) (eV/atom): -6.427

Cell lengths 3.557, 14.000, 11.989 Å; angles 90.00, 90.00, 90.00 degrees
Space group Cmc2_1 (No. 36)
Unique sites:
Ba1 0.000 0.096 0.000
Ba2 0.000 0.149 0.621
Ho1 0.000 0.207 0.336
Pd1 0.000 0.479 0.764
O1 0.000 0.051 0.367
O2 0.000 0.277 0.954
O3 0.000 0.332 0.714
O4 0.000 0.371 0.304
O5 0.000 0.485 0.099

---

No. 10
Here is a relaxed structure of Ti6AlTl from Alexandria via LeMat-Bulk. Energies are from PBE-GGA.

Output
Energy relative to the elements (eV/atom): -0.116

Cell lengths 5.8380, 5.8380, 4.7426 Å; angles 90.00, 90.00, 120.00 degrees
Space group P-6m2 (No. 187)
Unique sites:
Ti1 0.0056 0.5028 0.0000
Ti2 0.1639 0.3277 0.5000
Al1 0.0000 0.0000 0.0000
Tl1 0.6667 0.3333 0.5000

---

No. 11
Here is a relaxed structure of NdSN from Alexandria via LeMat-Bulk. Energies are from PBE-GGA.

Output
Total DFT energy (no corrections) (eV/atom): -6.853

Cell lengths 7.233, 4.127, 9.610 Å; angles 90.00, 92.90, 90.00 degrees
Space group C2/m (No. 12)
Unique sites:
Nd1 0.159 0.000 0.182
S1 0.177 0.000 0.682
N1 0.068 0.500 0.964

---

No. 12
Here is a relaxed structure of Sm5HoSb4 from Alexandria via LeMat-Bulk. Energies are from PBE-GGA.

Output
Total DFT energy (no corrections) (eV/atom): -5.237

Cell lengths 18.947, 4.362, 8.565 Å; angles 90.00, 105.20, 90.00 degrees
Space group C2/m (No. 12)
Unique sites:
Sm1 0.000 0.000 0.000
Sm2 0.165 0.500 0.327
Sm3 0.175 0.500 0.849
Ho1 0.000 0.000 0.500
Sb1 0.006 0.500 0.751
Sb2 0.167 0.000 0.587

---

No. 13
Here is a relaxed structure of DyY2Zr3N6 from Alexandria via LeMat-Bulk. Energies are from PBE-GGA.

Output
Total DFT energy (no corrections) (eV/atom): -9.480

Cell lengths 5.798, 10.026, 5.850 Å; angles 90.00, 109.33, 90.00 degrees
Space group C2/m (No. 12)
Unique sites:
Dy1 0.000 0.000 0.000
Y1 0.000 0.333 0.000
Zr1 0.000 0.167 0.500
Zr2 0.000 0.500 0.500
N1 0.243 0.000 0.733
N2 0.244 0.334 0.732

---

No. 14
Here is a relaxed structure of NaTb5Hg6 from Alexandria via LeMat-Bulk. Energies are from PBE-GGA.

Output
Energy relative to the elements (eV/atom): -0.442

Cell lengths 5.267, 15.761, 7.447 Å; angles 90.00, 90.00, 90.00 degrees
Space group Cmmm (No. 65)
Unique sites:
Na1 0.000 0.000 0.000
Tb1 0.000 0.000 0.500
Tb2 0.000 0.333 0.500
Tb3 0.000 0.338 0.000
Hg1 0.000 0.168 0.247
Hg2 0.000 0.500 0.257

---

No. 15
Here is a relaxed structure of CdPbAu2 from Alexandria via LeMat-Bulk. Energies are from PBE-GGA.

Output
Energy relative to the elements (eV/atom): 0.037

Cell lengths 8.004, 8.004, 5.934 Å; angles 90.00, 90.00, 90.00 degrees
Space group I-42d (No. 122)
Unique sites:
Cd1 0.000 0.000 0.000
Pb1 0.000 0.000 0.500
Au1 0.238 0.250 0.125

---

No. 16
Here is a relaxed structure of SmYGa2Pt5 from Alexandria via LeMat-Bulk. Energies are from PBE-GGA.

Output
Energy relative to the elements (eV/atom): -0.931

Cell lengths 4.203, 4.203, 9.373 Å; angles 90.00, 90.00, 90.00 degrees
Space group P4/mmm (No. 123)
Unique sites:
Sm1 0.000 0.000 0.000
Y1 0.000 0.000 0.500
Ga1 0.500 0.500 0.369
Pt1 0.000 0.500 0.227
Pt2 0.500 0.500 0.000

---

no.,total magnetization (μB per cell)
1,123.48
2,0.00
3,0.00
4,16.29
5,0.00
6,0.00
7,0.00
8,0.00
9,0.00
10,0.00
11,0.00
12,0.00
13,0.00
14,0.01
15,0.00
16,0.00